Entry 1:
Below is crystalline CsPm2CuSeS3 at its relaxed geometry, with properties calculated at the PBE level.

Unit cell a=7.529 b=7.529 c=14.248 alpha=90.00 beta=90.00 gamma=148.12
Positions (direct):
Cs 0.111 0.889 0.750
Cs 0.889 0.111 0.250
Pm 0.366 0.634 0.556
Pm 0.366 0.634 0.944
Pm 0.634 0.366 0.056
Pm 0.634 0.366 0.444
Cu 0.171 0.829 0.250
Cu 0.829 0.171 0.750
Se 0.423 0.577 0.750
Se 0.577 0.423 0.250
S 0.000 0.000 0.000
S 0.000 0.000 0.500
S 0.255 0.745 0.108
S 0.255 0.745 0.392
S 0.745 0.255 0.608
S 0.745 0.255 0.892

Results
- offset from the most stable computed form (meV per atom) = 23
- size of the total moment (μB per formula unit) = 0.00

---

Entry 2:
Below is crystalline CsPm2CuSeS3 at its relaxed geometry, with properties calculated at the PBE level.

Unit cell a=7.572 b=7.572 c=14.111 alpha=90.00 beta=90.00 gamma=148.17
Positions (direct):
Cs 0.103 0.897 0.750
Cs 0.897 0.103 0.250
Pm 0.361 0.639 0.562
Pm 0.361 0.639 0.938
Pm 0.639 0.361 0.062
Pm 0.639 0.361 0.438
Cu 0.167 0.833 0.250
Cu 0.833 0.167 0.750
Se 0.000 0.000 0.000
Se 0.000 0.000 0.500
S 0.257 0.743 0.110
S 0.257 0.743 0.390
S 0.416 0.584 0.750
S 0.584 0.416 0.250
S 0.743 0.257 0.610
S 0.743 0.257 0.890

Results
- offset from the most stable computed form (meV per atom) = 0
- size of the total moment (μB per formula unit) = 0.00

---

Entry 3:
Below is crystalline CsPm2CuSe3S at its relaxed geometry, with properties calculated at the PBE level.

Unit cell a=7.693 b=7.693 c=14.512 alpha=90.00 beta=90.00 gamma=148.28
Positions (direct):
Cs 0.099 0.901 0.750
Cs 0.901 0.099 0.250
Pm 0.366 0.634 0.566
Pm 0.366 0.634 0.934
Pm 0.634 0.366 0.066
Pm 0.634 0.366 0.434
Cu 0.162 0.838 0.250
Cu 0.838 0.162 0.750
Se 0.000 0.000 0.000
Se 0.000 0.000 0.500
Se 0.261 0.739 0.111
Se 0.261 0.739 0.389
Se 0.739 0.261 0.611
Se 0.739 0.261 0.889
S 0.417 0.583 0.750
S 0.583 0.417 0.250

Results
- raw total energy (eV/atom) = -5.120
- size of the total moment (μB per formula unit) = 0.00

---

Entry 4:
Below is crystalline CsPm2CuTeS3 at its relaxed geometry, with properties calculated at the PBE level.

Unit cell a=7.769 b=7.769 c=14.225 alpha=90.00 beta=90.00 gamma=148.38
Positions (direct):
Cs 0.099 0.901 0.750
Cs 0.901 0.099 0.250
Pm 0.353 0.647 0.566
Pm 0.353 0.647 0.934
Pm 0.647 0.353 0.066
Pm 0.647 0.353 0.434
Cu 0.170 0.830 0.250
Cu 0.830 0.170 0.750
Te 0.000 0.000 0.000
Te 0.000 0.000 0.500
S 0.259 0.741 0.111
S 0.259 0.741 0.389
S 0.410 0.590 0.750
S 0.590 0.410 0.250
S 0.741 0.259 0.611
S 0.741 0.259 0.889

Results
- offset from the most stable computed form (meV per atom) = 0
- size of the total moment (μB per formula unit) = 0.00

---

Entry 5:
Below is crystalline CsPm2CuTeS3 at its relaxed geometry, with properties calculated at the PBE level.

Unit cell a=7.635 b=7.635 c=14.529 alpha=90.00 beta=90.00 gamma=148.03
Positions (direct):
Cs 0.130 0.870 0.750
Cs 0.870 0.130 0.250
Pm 0.367 0.633 0.550
Pm 0.367 0.633 0.950
Pm 0.633 0.367 0.050
Pm 0.633 0.367 0.450
Cu 0.168 0.832 0.250
Cu 0.832 0.168 0.750
Te 0.435 0.565 0.750
Te 0.565 0.435 0.250
S 0.000 0.000 0.000
S 0.000 0.000 0.500
S 0.248 0.752 0.105
S 0.248 0.752 0.395
S 0.752 0.248 0.605
S 0.752 0.248 0.895

Results
- offset from the most stable computed form (meV per atom) = 48
- size of the total moment (μB per formula unit) = 0.00

---

Entry 6:
Below is crystalline Cs2Pm4Cu4Se9 at its relaxed geometry, with properties calculated at the PBE level.

Unit cell a=7.715 b=7.715 c=17.071 alpha=107.76 beta=107.76 gamma=31.68
Positions (direct):
Cs 0.029 0.029 0.271
Cs 0.971 0.971 0.729
Pm 0.230 0.230 0.102
Pm 0.346 0.346 0.445
Pm 0.654 0.654 0.555
Pm 0.770 0.770 0.898
Cu 0.245 0.245 0.728
Cu 0.426 0.426 0.031
Cu 0.574 0.574 0.969
Cu 0.755 0.755 0.272
Se 0.000 0.000 0.500
Se 0.137 0.137 0.925
Se 0.296 0.296 0.601
Se 0.340 0.340 0.275
Se 0.397 0.397 0.877
Se 0.603 0.603 0.123
Se 0.660 0.660 0.725
Se 0.704 0.704 0.399
Se 0.863 0.863 0.075

Results
- raw total energy (eV/atom) = -4.807
- size of the total moment (μB per formula unit) = 0.00

---

Entry 7:
Below is crystalline CsPm2CuSe4 at its relaxed geometry, with properties calculated at the PBE level.

Unit cell a=7.736 b=7.736 c=14.716 alpha=90.00 beta=90.00 gamma=148.08
Positions (direct):
Cs 0.107 0.893 0.750
Cs 0.893 0.107 0.250
Pm 0.366 0.634 0.562
Pm 0.366 0.634 0.938
Pm 0.634 0.366 0.062
Pm 0.634 0.366 0.438
Cu 0.163 0.837 0.250
Cu 0.837 0.163 0.750
Se 0.000 0.000 0.000
Se 0.000 0.000 0.500
Se 0.259 0.741 0.110
Se 0.259 0.741 0.390
Se 0.423 0.577 0.750
Se 0.577 0.423 0.250
Se 0.741 0.259 0.610
Se 0.741 0.259 0.890

Results
- raw total energy (eV/atom) = -5.011
- size of the total moment (μB per formula unit) = 0.00

---

Entry 8:
Below is crystalline CsPm2Cu3Se5 at its relaxed geometry, with properties calculated at the PBE level.

Unit cell a=7.676 b=7.676 c=17.772 alpha=90.00 beta=90.00 gamma=148.34
Positions (direct):
Cs 0.061 0.939 0.750
Cs 0.939 0.061 0.250
Pm 0.192 0.808 0.091
Pm 0.192 0.808 0.409
Pm 0.808 0.192 0.591
Pm 0.808 0.192 0.909
Cu 0.340 0.660 0.750
Cu 0.415 0.585 0.029
Cu 0.415 0.585 0.471
Cu 0.585 0.415 0.529
Cu 0.585 0.415 0.971
Cu 0.660 0.340 0.250
Se 0.164 0.836 0.571
Se 0.164 0.836 0.929
Se 0.236 0.764 0.250
Se 0.443 0.557 0.611
Se 0.443 0.557 0.889
Se 0.557 0.443 0.111
Se 0.557 0.443 0.389
Se 0.764 0.236 0.750
Se 0.836 0.164 0.071
Se 0.836 0.164 0.429

Results
- raw total energy (eV/atom) = -4.661
- size of the total moment (μB per formula unit) = 0.00

---

Entry 9:
Below is crystalline CsPm2CuTeSe3 at its relaxed geometry, with properties calculated at the PBE level.

Unit cell a=7.937 b=7.937 c=14.783 alpha=90.00 beta=90.00 gamma=148.26
Positions (direct):
Cs 0.102 0.898 0.750
Cs 0.898 0.102 0.250
Pm 0.357 0.643 0.565
Pm 0.357 0.643 0.935
Pm 0.643 0.357 0.065
Pm 0.643 0.357 0.435
Cu 0.166 0.834 0.250
Cu 0.834 0.166 0.750
Te 0.000 0.000 0.000
Te 0.000 0.000 0.500
Se 0.262 0.738 0.112
Se 0.262 0.738 0.388
Se 0.419 0.581 0.750
Se 0.581 0.419 0.250
Se 0.738 0.262 0.612
Se 0.738 0.262 0.888

Results
- offset from the most stable computed form (meV per atom) = 0
- size of the total moment (μB per formula unit) = 0.00

---

Entry 10:
Below is crystalline CsPm2CuTe3Se at its relaxed geometry, with properties calculated at the PBE level.

Unit cell a=8.153 b=8.153 c=15.378 alpha=90.00 beta=90.00 gamma=148.51
Positions (direct):
Cs 0.094 0.906 0.750
Cs 0.906 0.094 0.250
Pm 0.365 0.635 0.570
Pm 0.365 0.635 0.930
Pm 0.635 0.365 0.070
Pm 0.635 0.365 0.430
Cu 0.162 0.838 0.250
Cu 0.838 0.162 0.750
Te 0.000 0.000 0.000
Te 0.000 0.000 0.500
Te 0.266 0.734 0.114
Te 0.266 0.734 0.386
Te 0.734 0.266 0.614
Te 0.734 0.266 0.886
Se 0.418 0.582 0.750
Se 0.582 0.418 0.250

Results
- offset from the most stable computed form (meV per atom) = 0
- size of the total moment (μB per formula unit) = 0.00

---

Entry 11:
Below is crystalline CsPm2CuTe3Se at its relaxed geometry, with properties calculated at the PBE level.

Unit cell a=8.074 b=8.074 c=15.722 alpha=90.00 beta=90.00 gamma=148.39
Positions (direct):
Cs 0.114 0.886 0.750
Cs 0.886 0.114 0.250
Pm 0.375 0.625 0.559
Pm 0.375 0.625 0.941
Pm 0.625 0.375 0.059
Pm 0.625 0.375 0.441
Cu 0.164 0.836 0.250
Cu 0.836 0.164 0.750
Te 0.258 0.742 0.109
Te 0.258 0.742 0.391
Te 0.429 0.571 0.750
Te 0.571 0.429 0.250
Te 0.742 0.258 0.609
Te 0.742 0.258 0.891
Se 0.000 0.000 0.000
Se 0.000 0.000 0.500

Results
- offset from the most stable computed form (meV per atom) = 24
- size of the total moment (μB per formula unit) = 0.00

---

Entry 12:
Below is crystalline CsPm2CuTeSe3 at its relaxed geometry, with properties calculated at the PBE level.

Unit cell a=7.843 b=7.843 c=15.033 alpha=90.00 beta=90.00 gamma=148.07
Positions (direct):
Cs 0.122 0.878 0.750
Cs 0.878 0.122 0.250
Pm 0.366 0.634 0.555
Pm 0.366 0.634 0.945
Pm 0.634 0.366 0.055
Pm 0.634 0.366 0.445
Cu 0.167 0.833 0.250
Cu 0.833 0.167 0.750
Te 0.431 0.569 0.750
Te 0.569 0.431 0.250
Se 0.000 0.000 0.000
Se 0.000 0.000 0.500
Se 0.255 0.745 0.108
Se 0.255 0.745 0.392
Se 0.745 0.255 0.608
Se 0.745 0.255 0.892

Results
- offset from the most stable computed form (meV per atom) = 25
- size of the total moment (μB per formula unit) = 0.00